1.
# PBE ZnCo2Ir, relaxed
data_ZnCo2Ir
_chemical_formula_sum 'Zn2 Co4 Ir2'
_symmetry_space_group_name_H-M 'P 1'
_symmetry_Int_Tables_number 1
_cell_length_a 9.0949
_cell_length_b 9.0949
_cell_length_c 9.0949
_cell_angle_alpha 157.44
_cell_angle_beta 157.44
_cell_angle_gamma 32.11
loop_
_symmetry_equiv_pos_as_xyz
'x,y,z'
loop_
_atom_site_label
_atom_site_fract_x
_atom_site_fract_y
_atom_site_fract_z
Zn1 0.0000 0.0000 0.0000
Zn2 0.7500 0.2500 0.5000
Co1 0.1060 0.6250 0.9810
Co2 0.3750 0.3560 0.4810
Co3 0.6440 0.1250 0.0190
Co4 0.8750 0.8940 0.5190
Ir1 0.2500 0.7500 0.5000
Ir2 0.5000 0.5000 0.0000
# ΔE_f ... 0.426 eV/atom
# D(E_F) ... 8.730 states/eV/cell

2.
# PBE YCd2Pt, relaxed
data_YCd2Pt
_chemical_formula_sum 'Y1 Cd2 Pt1'
_symmetry_space_group_name_H-M 'P 1'
_symmetry_Int_Tables_number 1
_cell_length_a 4.9264
_cell_length_b 4.9264
_cell_length_c 4.9264
_cell_angle_alpha 119.96
_cell_angle_beta 119.96
_cell_angle_gamma 90.06
loop_
_symmetry_equiv_pos_as_xyz
'x,y,z'
loop_
_atom_site_label
_atom_site_fract_x
_atom_site_fract_y
_atom_site_fract_z
Y1 0.0000 0.0000 0.0000
Cd1 0.5000 0.5000 0.0000
Cd2 0.7500 0.2500 0.5000
Pt1 0.2500 0.7500 0.5000
# ΔE_f ... -0.551 eV/atom
# D(E_F) ... 2.225 states/eV/cell

3.
# PBE Tb8MgIn6, relaxed
data_Tb8MgIn6
_chemical_formula_sum 'Tb8 Mg1 In6'
_symmetry_space_group_name_H-M 'P 1'
_symmetry_Int_Tables_number 1
_cell_length_a 8.2811
_cell_length_b 8.2811
_cell_length_c 8.2811
_cell_angle_alpha 65.98
_cell_angle_beta 65.98
_cell_angle_gamma 65.98
loop_
_symmetry_equiv_pos_as_xyz
'x,y,z'
loop_
_atom_site_label
_atom_site_fract_x
_atom_site_fract_y
_atom_site_fract_z
Tb1 0.0690 0.3842 0.7108
Tb2 0.1656 0.1656 0.1656
Tb3 0.2892 0.9310 0.6158
Tb4 0.3842 0.7108 0.0690
Tb5 0.6158 0.2892 0.9310
Tb6 0.7108 0.0690 0.3842
Tb7 0.8344 0.8344 0.8344
Tb8 0.9310 0.6158 0.2892
Mg1 0.5000 0.5000 0.5000
In1 0.1122 0.7720 0.4463
In2 0.2280 0.5537 0.8878
In3 0.4463 0.1122 0.7720
In4 0.5537 0.8878 0.2280
In5 0.7720 0.4463 0.1122
In6 0.8878 0.2280 0.5537
# ΔE_f ... -0.204 eV/atom
# D(E_F) ... 17.880 states/eV/cell

4.
# PBE Tb2PuCo3, relaxed
data_Tb2PuCo3
_chemical_formula_sum 'Tb4 Pu2 Co6'
_symmetry_space_group_name_H-M 'P 1'
_symmetry_Int_Tables_number 1
_cell_length_a 5.5983
_cell_length_b 5.5983
_cell_length_c 7.9050
_cell_angle_alpha 90.00
_cell_angle_beta 90.00
_cell_angle_gamma 120.00
loop_
_symmetry_equiv_pos_as_xyz
'x,y,z'
loop_
_atom_site_label
_atom_site_fract_x
_atom_site_fract_y
_atom_site_fract_z
Tb1 0.3333 0.6667 0.0609
Tb2 0.3333 0.6667 0.4391
Tb3 0.6667 0.3333 0.5609
Tb4 0.6667 0.3333 0.9391
Pu1 0.0000 0.0000 0.0000
Pu2 0.0000 0.0000 0.5000
Co1 0.1783 0.3566 0.7500
Co2 0.1783 0.8217 0.7500
Co3 0.3566 0.1783 0.2500
Co4 0.6434 0.8217 0.7500
Co5 0.8217 0.1783 0.2500
Co6 0.8217 0.6434 0.2500
# ΔE_f ... -0.086 eV/atom
# D(E_F) ... 22.063 states/eV/cell